# 1
DFT (PBE-GGA) results for crystalline ZrP2Ir at its relaxed geometry.

## Properties
- Energy relative to the lowest polymorph listed for this composition: 0.146 eV per atom
- Total energy: -30.48 eV per formula unit
- DOS at the Fermi energy: 1.88 states/eV per cell
- SG: Pm, No. 6

Cell: 4.4138 2.9407 5.3145 Å, 74.07 90.00 90.00°
Positions (direct):
Ir 0.5000 0.9229 0.7811
P 0.0000 0.8483 0.9296
P 0.5000 0.1469 0.3285
Zr 0.0000 0.5819 0.4607



# 2
DFT (PBE-GGA) results for crystalline ZrPIr2 at its relaxed geometry.

## Properties
- Total energy: -34.13 eV per formula unit
- DOS at the Fermi energy: 3.32 states/eV per cell
- SG: Immm, No. 71

Cell: 5.3150 5.3150 5.3150 Å, 147.53 129.41 61.41°
Positions (direct):
Zr 0.5000 0.0000 0.5000
P 0.0000 0.5000 0.5000
Ir 0.7824 0.7824 0.0000
Ir 0.2176 0.2176 0.0000



# 3
DFT (PBE-GGA) results for crystalline ZrP2Ir at its relaxed geometry.

## Properties
- Energy relative to the lowest polymorph listed for this composition: 0.192 eV per atom
- Total energy: -30.29 eV per formula unit
- DOS at the Fermi energy: 1.67 states/eV per cell
- SG: P2/m, No. 10

Cell: 3.5304 5.3370 5.2493 Å, 41.53 90.00 90.00°
Positions (direct):
Ir 0.0000 0.0000 0.5000
P 0.0000 0.0000 0.0000
P 0.5000 0.5000 0.0000
Zr 0.5000 0.5000 0.5000



# 4
DFT (PBE-GGA) results for crystalline ZrP2Ir at its relaxed geometry.

## Properties
- Energy relative to the lowest polymorph listed for this composition: 0.402 eV per atom
- Total energy: -29.45 eV per formula unit
- DOS at the Fermi energy: 1.69 states/eV per cell
- SG: Pmmm, No. 47

Cell: 2.8947 3.3265 6.3232 Å, 90.00 90.00 90.00°
Positions (direct):
Ir 0.5000 0.5000 0.7500
P 0.0000 0.0000 0.9810
P 0.0000 0.0000 0.5190
Zr 0.5000 0.5000 0.2500



# 5
DFT (PBE-GGA) results for crystalline Zr2PIr at its relaxed geometry.

## Properties
- Total energy: -34.61 eV per formula unit
- DOS at the Fermi energy: 2.67 states/eV per cell
- SG: P4/mmm, No. 123

Cell: 3.7886 3.7886 5.5095 Å, 90.00 90.00 90.00°
Positions (direct):
Zr 0.0000 0.0000 0.5000
Zr 0.5000 0.5000 0.0000
P 0.5000 0.5000 0.5000
Ir 0.0000 0.0000 0.0000



# 6
DFT (PBE-GGA) results for crystalline Zr2PIr at its relaxed geometry.

## Properties
- Total energy: -34.29 eV per formula unit
- DOS at the Fermi energy: 4.02 states/eV per cell
- SG: Pmmm, No. 47

Cell: 3.3914 4.2047 5.0933 Å, 90.00 90.00 90.00°
Positions (direct):
Zr 0.0000 0.0000 0.0000
Zr 0.0000 0.5000 0.5000
P 0.5000 0.0000 0.5000
Ir 0.5000 0.5000 0.0000